(1)
VASP calculation (PBE) on an optimized crystal structure of HfMn2Cr2.

ΔH_f (0 K) = 0.030 eV/atom
M_tot = 0.00 μB/f.u.
ΔE to the lowest computed polymorph = 0 meV/atom

a = 5.415 Å, b = 5.415 Å, c = 5.415 Å
α = 138.16°, β = 138.16°, γ = 60.66°
Element x y z (fractional)
Hf 0.000 0.000 0.000
Mn 0.380 0.380 0.000
Mn 0.620 0.620 0.000
Cr 0.250 0.750 0.500
Cr 0.750 0.250 0.500

(2)
VASP calculation (PBE) on an optimized crystal structure of Li2CdCo.

ΔH_f (0 K) = 0.140 eV/atom
M_tot = 1.19 μB/f.u.

a = 4.844 Å, b = 4.844 Å, c = 4.902 Å
α = 99.02°, β = 99.02°, γ = 32.84°
Element x y z (fractional)
Li 0.000 0.000 0.000
Li 0.239 0.239 0.763
Cd 0.485 0.485 0.476
Co 0.739 0.739 0.261

(3)
VASP calculation (PBE) on an optimized crystal structure of AcPuHg6.

ΔH_f (0 K) = -0.264 eV/atom
M_tot = 6.17 μB/f.u.

a = 5.178 Å, b = 6.925 Å, c = 6.925 Å
α = 60.06°, β = 90.00°, γ = 90.00°
Element x y z (fractional)
Ac 0.000 0.000 0.000
Pu 0.500 0.669 0.669
Hg 0.000 0.502 0.998
Hg 0.000 0.505 0.505
Hg 0.000 0.998 0.502
Hg 0.500 0.178 0.178
Hg 0.500 0.180 0.645
Hg 0.500 0.645 0.180

(4)
VASP calculation (PBE) on an optimized crystal structure of As2PbAu.

ΔH_f (0 K) = 0.173 eV/atom
M_tot = 0.00 μB/f.u.

a = 5.391 Å, b = 5.391 Å, c = 5.391 Å
α = 135.67°, β = 116.15°, γ = 81.02°
Element x y z (fractional)
As 0.196 0.196 0.000
As 0.804 0.804 0.000
Pb 0.500 0.000 0.500
Au 0.000 0.500 0.500

(5)
VASP calculation (PBE) on an optimized crystal structure of Ta2SbAu.

M_tot = 0.00 μB/f.u.
Uncorrected energy = -0.5570 Ry/atom

a = 2.995 Å, b = 4.299 Å, c = 5.873 Å
α = 90.00°, β = 90.00°, γ = 90.00°
Element x y z (fractional)
Ta 0.000 0.000 0.244
Ta 0.000 0.000 0.756
Sb 0.500 0.500 0.500
Au 0.500 0.500 0.000

(6)
VASP calculation (PBE) on an optimized crystal structure of HgBi3.

ΔH_f (0 K) = 0.121 eV/atom
M_tot = 0.00 μB/f.u.
ΔE to the lowest computed polymorph = 32 meV/atom

a = 8.347 Å, b = 3.579 Å, c = 8.351 Å
α = 90.00°, β = 91.77°, γ = 90.00°
Element x y z (fractional)
Hg 0.121 0.250 0.381
Hg 0.879 0.750 0.619
Bi 0.122 0.250 0.883
Bi 0.383 0.750 0.115
Bi 0.385 0.750 0.624
Bi 0.615 0.250 0.376
Bi 0.617 0.250 0.885
Bi 0.878 0.750 0.117

(7)
VASP calculation (PBE) on an optimized crystal structure of Hg6BiAs4Cl7.

M_tot = 0.00 μB/f.u.
Uncorrected energy = -0.1867 Ry/atom

a = 12.475 Å, b = 12.475 Å, c = 12.475 Å
α = 90.00°, β = 90.00°, γ = 90.00°
Element x y z (fractional)
Hg 0.049 0.183 0.695
Hg 0.049 0.317 0.195
Hg 0.183 0.695 0.049
Hg 0.183 0.805 0.549
Hg 0.195 0.049 0.317
Hg 0.195 0.451 0.817
Hg 0.305 0.549 0.317
Hg 0.305 0.951 0.817
Hg 0.317 0.195 0.049
Hg 0.317 0.305 0.549
Hg 0.451 0.683 0.695
Hg 0.451 0.817 0.195
Hg 0.549 0.183 0.805
Hg 0.549 0.317 0.305
Hg 0.683 0.695 0.451
Hg 0.683 0.805 0.951
Hg 0.695 0.049 0.183
Hg 0.695 0.451 0.683
Hg 0.805 0.549 0.183
Hg 0.805 0.951 0.683
Hg 0.817 0.195 0.451
Hg 0.817 0.305 0.951
Hg 0.951 0.683 0.805
Hg 0.951 0.817 0.305
Bi 0.000 0.000 0.000
Bi 0.000 0.500 0.500
Bi 0.500 0.000 0.500
Bi 0.500 0.500 0.000
As 0.149 0.649 0.851
As 0.149 0.851 0.351
As 0.235 0.235 0.235
As 0.235 0.265 0.735
As 0.265 0.735 0.235
As 0.265 0.765 0.735
As 0.351 0.149 0.851
As 0.351 0.351 0.351
As 0.649 0.649 0.649
As 0.649 0.851 0.149
As 0.735 0.235 0.265
As 0.735 0.265 0.765
As 0.765 0.735 0.265
As 0.765 0.765 0.765
As 0.851 0.149 0.649
As 0.851 0.351 0.149
Cl 0.000 0.000 0.500
Cl 0.000 0.500 0.000
Cl 0.044 0.551 0.292
Cl 0.044 0.949 0.792
Cl 0.051 0.208 0.956
Cl 0.051 0.292 0.456
Cl 0.208 0.544 0.551
Cl 0.208 0.956 0.051
Cl 0.292 0.044 0.551
Cl 0.292 0.456 0.051
Cl 0.449 0.708 0.956
Cl 0.449 0.792 0.456
Cl 0.456 0.051 0.292
Cl 0.456 0.449 0.792
Cl 0.500 0.000 0.000
Cl 0.500 0.500 0.500
Cl 0.544 0.551 0.208
Cl 0.544 0.949 0.708
Cl 0.551 0.208 0.544
Cl 0.551 0.292 0.044
Cl 0.708 0.544 0.949
Cl 0.708 0.956 0.449
Cl 0.792 0.044 0.949
Cl 0.792 0.456 0.449
Cl 0.949 0.708 0.544
Cl 0.949 0.792 0.044
Cl 0.956 0.051 0.208
Cl 0.956 0.449 0.708

(8)
VASP calculation (PBE) on an optimized crystal structure of Hg2RuPb.

ΔH_f (0 K) = 0.507 eV/atom
M_tot = 0.00 μB/f.u.

a = 6.729 Å, b = 6.729 Å, c = 6.729 Å
α = 99.12°, β = 99.12°, γ = 133.08°
Element x y z (fractional)
Hg 0.044 0.625 0.919
Hg 0.375 0.294 0.419
Hg 0.706 0.125 0.081
Hg 0.875 0.956 0.581
Ru 0.000 0.000 0.000
Ru 0.750 0.250 0.500
Pb 0.250 0.750 0.500
Pb 0.500 0.500 0.000

M_tot of number 3 (AcPuHg6)?
6.17 μB/f.u.

What is the M_tot in the fifth record?
0.00 μB/f.u.